{
  "formula": "K2ZrBr",
  "functional": "PBE-GGA",
  "state": "relaxed",
  "lattice_angstrom": [[3.630, 0.000, 0.000], [0.000, 5.269, 0.000], [-1.710, 0.000, 9.415]],
  "species": ["K", "K", "Zr", "Br"],
  "frac_coords": [[0.000, 0.000, 0.000], [0.297, 0.500, 0.633], [0.627, 0.500, 0.270], [0.640, 0.000, 0.296]],
  "relative_energy_mev_per_atom": 226,
  "formation_energy_uncorrected_ev_per_atom": 0.095,
  "dos_at_fermi_per_ev_atom": 0.74,
  "energy_ev_per_atom": -3.009,
  "sg": "Pm (6)"
}



{
  "formula": "Eu2PbCl",
  "functional": "PBE-GGA",
  "state": "relaxed",
  "lattice_angstrom": [[2.150, 1.241, 7.903], [-2.150, 1.241, 7.903], [0.000, -2.483, 7.903]],
  "species": ["Eu", "Eu", "Pb", "Cl"],
  "frac_coords": [[0.242, 0.242, 0.242], [0.758, 0.758, 0.758], [0.000, 0.000, 0.000], [0.500, 0.500, 0.500]],
  "relative_energy_mev_per_atom": 0,
  "formation_energy_uncorrected_ev_per_atom": -1.089,
  "dos_at_fermi_per_ev_atom": 2.56,
  "energy_ev_per_atom": -7.615,
  "sg": "R-3m (166)"
}



{
  "formula": "Na2BiPbF",
  "functional": "PBE-GGA",
  "state": "relaxed",
  "lattice_angstrom": [[4.762, 0.000, 0.000], [0.000, 4.762, 0.000], [0.000, 0.000, 5.437]],
  "species": ["Na", "Na", "Bi", "Pb", "F"],
  "frac_coords": [[0.000, 0.500, 0.000], [0.500, 0.000, 0.000], [0.000, 0.000, 0.500], [0.500, 0.500, 0.500], [0.500, 0.500, 0.000]],
  "formation_energy_uncorrected_ev_per_atom": -1.051,
  "dos_at_fermi_per_ev_atom": 0.31,
  "energy_ev_per_atom": -3.470,
  "sg": "P4/mmm (123)"
}



{
  "formula": "Pr12Hg6Pt",
  "functional": "PBE-GGA",
  "state": "relaxed",
  "lattice_angstrom": [[6.219, 3.590, 4.514], [-6.219, 3.590, 4.514], [0.000, -7.181, 4.514]],
  "species": ["Pr", "Pr", "Pr", "Pr", "Pr", "Pr", "Pr", "Pr", "Pr", "Pr", "Pr", "Pr", "Hg", "Hg", "Hg", "Hg", "Hg", "Hg", "Pt"],
  "frac_coords": [[0.030, 0.338, 0.077], [0.077, 0.030, 0.338], [0.195, 0.555, 0.439], [0.338, 0.077, 0.030], [0.439, 0.195, 0.555], [0.445, 0.561, 0.805], [0.555, 0.439, 0.195], [0.561, 0.805, 0.445], [0.662, 0.923, 0.970], [0.805, 0.445, 0.561], [0.923, 0.970, 0.662], [0.970, 0.662, 0.923], [0.128, 0.314, 0.711], [0.289, 0.872, 0.686], [0.314, 0.711, 0.128], [0.686, 0.289, 0.872], [0.711, 0.128, 0.314], [0.872, 0.686, 0.289], [0.000, 0.000, 0.000]],
  "dos_at_fermi_per_ev_atom": 1.25,
  "formation_enthalpy_0k_ev_per_atom": -0.2772,
  "energy_ev_per_atom": -3.709,
  "sg": "R-3 (148)"
}



{
  "formula": "Li2Y2Pd",
  "functional": "PBE-GGA",
  "state": "relaxed",
  "lattice_angstrom": [[-1.786, 1.786, 9.203], [1.786, -1.786, 9.203], [1.786, 1.786, -9.203]],
  "species": ["Li", "Li", "Y", "Y", "Pd"],
  "frac_coords": [[0.250, 0.750, 0.500], [0.750, 0.250, 0.500], [0.091, 0.091, 0.000], [0.909, 0.909, 0.000], [0.500, 0.500, 0.000]],
  "relative_energy_mev_per_atom": 0,
  "dos_at_fermi_per_ev_atom": 1.01,
  "formation_enthalpy_0k_ev_per_atom": -0.1932,
  "energy_ev_per_atom": -4.583,
  "sg": "I4/mmm (139)"
}



{
  "formula": "Na2TiBr5",
  "functional": "PBE-GGA",
  "state": "relaxed",
  "lattice_angstrom": [[2.632, -7.398, 0.000], [2.632, 7.398, 0.000], [0.000, 0.000, 13.891]],
  "species": ["Na", "Na", "Na", "Na", "Ti", "Ti", "Br", "Br", "Br", "Br", "Br", "Br", "Br", "Br", "Br", "Br"],
  "frac_coords": [[0.149, 0.851, 0.557], [0.149, 0.851, 0.943], [0.851, 0.149, 0.057], [0.851, 0.149, 0.443], [0.168, 0.832, 0.250], [0.832, 0.168, 0.750], [0.046, 0.954, 0.122], [0.046, 0.954, 0.378], [0.293, 0.707, 0.113], [0.293, 0.707, 0.387], [0.318, 0.682, 0.750], [0.682, 0.318, 0.250], [0.707, 0.293, 0.613], [0.707, 0.293, 0.887], [0.954, 0.046, 0.622], [0.954, 0.046, 0.878]],
  "relative_energy_mev_per_atom": 0,
  "formation_energy_uncorrected_ev_per_atom": -1.307,
  "dos_at_fermi_per_ev_atom": 0.58,
  "energy_ev_per_atom": -3.669,
  "sg": "Cmcm (63)"
}



{
  "formula": "KTc3Bi",
  "functional": "PBE-GGA",
  "state": "relaxed",
  "lattice_angstrom": [[4.723, 0.000, 0.000], [0.000, 4.723, 0.000], [0.000, 0.000, 4.723]],
  "species": ["K", "Tc", "Tc", "Tc", "Bi"],
  "frac_coords": [[0.000, 0.000, 0.000], [0.000, 0.000, 0.500], [0.000, 0.500, 0.000], [0.500, 0.000, 0.000], [0.500, 0.500, 0.500]],
  "relative_energy_mev_per_atom": 784,
  "dos_at_fermi_per_ev_atom": 1.37,
  "formation_enthalpy_0k_ev_per_atom": 2.8613,
  "energy_ev_per_atom": -4.354,
  "sg": "Pm-3m (221)"
}



{
  "formula": "Zn9PtRh2",
  "functional": "PBE-GGA",
  "state": "relaxed",
  "lattice_angstrom": [[4.657, 0.000, 0.000], [0.731, 4.754, 0.000], [2.249, 0.350, 7.816]],
  "species": ["Zn", "Zn", "Zn", "Zn", "Zn", "Zn", "Zn", "Zn", "Zn", "Pt", "Rh", "Rh"],
  "frac_coords": [[0.000, 0.000, 0.000], [0.080, 0.256, 0.417], [0.173, 0.507, 0.839], [0.269, 0.747, 0.236], [0.338, 0.996, 0.665], [0.662, 0.004, 0.335], [0.731, 0.253, 0.764], [0.827, 0.493, 0.161], [0.920, 0.744, 0.583], [0.500, 0.500, 0.500], [0.396, 0.247, 0.098], [0.604, 0.753, 0.902]],
  "dos_at_fermi_per_ev_atom": 0.36,
  "formation_enthalpy_0k_ev_per_atom": -0.2825,
  "energy_ev_per_atom": -2.967,
  "sg": "P-1 (2)"
}



{
  "formula": "NaReI2O",
  "functional": "PBE-GGA",
  "state": "relaxed",
  "lattice_angstrom": [[5.718, 0.000, 0.000], [0.000, 5.718, 0.000], [0.000, 0.000, 3.804]],
  "species": ["Na", "Re", "I", "I", "O"],
  "frac_coords": [[0.000, 0.000, 0.000], [0.500, 0.500, 0.500], [0.000, 0.500, 0.500], [0.500, 0.000, 0.500], [0.500, 0.500, 0.000]],
  "relative_energy_mev_per_atom": 0,
  "formation_energy_uncorrected_ev_per_atom": -0.490,
  "dos_at_fermi_per_ev_atom": 0.69,
  "energy_ev_per_atom": -4.855,
  "sg": "P4/mmm (123)"
}



{
  "formula": "Mg2ScPd",
  "functional": "PBE-GGA",
  "state": "relaxed",
  "lattice_angstrom": [[0.000, 3.344, 3.344], [3.344, 0.000, 3.344], [3.344, 3.344, 0.000]],
  "species": ["Mg", "Mg", "Sc", "Pd"],
  "frac_coords": [[0.250, 0.250, 0.250], [0.750, 0.750, 0.750], [0.000, 0.000, 0.000], [0.500, 0.500, 0.500]],
  "dos_at_fermi_per_ev_atom": 0.64,
  "formation_enthalpy_0k_ev_per_atom": -0.3257,
  "energy_ev_per_atom": -4.004,
  "sg": "Fm-3m (225)"
}



{
  "formula": "RbErI3",
  "functional": "PBE-GGA",
  "state": "relaxed",
  "lattice_angstrom": [[6.017, 0.000, 0.000], [0.000, 6.017, 0.000], [0.000, 0.000, 6.017]],
  "species": ["Rb", "Er", "I", "I", "I"],
  "frac_coords": [[0.000, 0.000, 0.000], [0.500, 0.500, 0.500], [0.000, 0.500, 0.500], [0.500, 0.000, 0.500], [0.500, 0.500, 0.000]],
  "formation_energy_uncorrected_ev_per_atom": -1.160,
  "dos_at_fermi_per_ev_atom": 0.73,
  "energy_ev_per_atom": -3.196,
  "sg": "Pm-3m (221)"
}



{
  "formula": "PmMgAlAu",
  "functional": "PBE-GGA",
  "state": "relaxed",
  "lattice_angstrom": [[0.000, 3.526, 3.526], [3.526, 0.000, 3.526], [3.526, 3.526, 0.000]],
  "species": ["Pm", "Mg", "Al", "Au"],
  "frac_coords": [[0.000, 0.000, 0.000], [0.500, 0.500, 0.500], [0.250, 0.250, 0.250], [0.750, 0.750, 0.750]],
  "dos_at_fermi_per_ev_atom": 0.44,
  "formation_enthalpy_0k_ev_per_atom": -0.5004,
  "energy_ev_per_atom": -3.842,
  "sg": "F-43m (216)"
}